Computed, not measured: La2TbNd after structural relaxation at the PBE level of DFT.

Lattice parameters (Å, degrees): 3.7048 3.7048 10.2769 90.00 90.00 90.00
Element x y z (fractional)
La 0.0000 0.0000 0.2462
La 0.0000 0.0000 0.7538
Tb 0.5000 0.5000 0.0000
Nd 0.5000 0.5000 0.5000

## Properties
D(E_F): 1.804 states/eV per atom
Size of the total moment: 0.00 μB per atom
DFT total energy: -19.175 eV/cell
Energy relative to the elements: 7.5 kJ/mol of formula units
Energy above the most stable polymorph in this dataset: 8.5 meV/atom